1.
# RuPt2 PBE relaxed
# Formation enthalpy at 0 K ... 0.2433 eV/atom
# Calculated volume ... 15.459 A^3/atom
# Calculated total energy ... -0.50536 Ry/atom
# Crystal system ... hexagonal
data_RuPt2
_symmetry_space_group_name_H-M 'P 63/m m c'
_symmetry_Int_Tables_number 194
_symmetry_space_group_name_Hall '-P 6c 2c'
_cell_length_a 4.4362
_cell_length_b 4.4362
_cell_length_c 5.4423
_cell_angle_alpha 90.00
_cell_angle_beta 90.00
_cell_angle_gamma 120.00
loop_
_atom_site_label
_atom_site_type_symbol
_atom_site_fract_x
_atom_site_fract_y
_atom_site_fract_z
_atom_site_occupancy
Ru1 Ru 0.3333 0.6667 0.2500 1
Pt1 Pt 0.0000 0.0000 0.0000 1
Pt2 Pt 0.3333 0.6667 0.7500 1

***

2.
# SrTmAgTe3 PBE relaxed
# Formation energy without anion corrections ... -1195.1 meV/atom
# Calculated volume ... 31.683 A^3/atom
# Calculated total energy ... -0.31360 Ry/atom
# Crystal system ... monoclinic
data_SrTmAgTe3
_symmetry_space_group_name_H-M 'P 1 21/m 1'
_symmetry_Int_Tables_number 11
_cell_length_a 8.879
_cell_length_b 4.406
_cell_length_c 10.027
_cell_angle_alpha 90.00
_cell_angle_beta 104.24
_cell_angle_gamma 90.00
loop_
_symmetry_equiv_pos_as_xyz
'x,y,z'
'-x,-y,-z'
'-x,y+1/2,-z'
'x,-y+1/2,z'
loop_
_atom_site_label
_atom_site_type_symbol
_atom_site_fract_x
_atom_site_fract_y
_atom_site_fract_z
_atom_site_occupancy
Sr1 Sr 0.197 0.250 0.254 1
Tm1 Tm 0.322 0.750 0.834 1
Ag1 Ag 0.082 0.250 0.586 1
Te1 Te 0.096 0.250 0.871 1
Te2 Te 0.262 0.750 0.522 1
Te3 Te 0.434 0.750 0.152 1

***

3.
# Tm7Zn2Co2 PBE relaxed
# Formation enthalpy at 0 K ... -0.1216 eV/atom
# Calculated volume ... 24.528 A^3/atom
# Calculated total energy ... -0.33006 Ry/atom
# Crystal system ... orthorhombic
data_Tm7Zn2Co2
_symmetry_space_group_name_H-M 'C m m m'
_symmetry_Int_Tables_number 65
_symmetry_space_group_name_Hall '-C 2 2'
_cell_length_a 7.442
_cell_length_b 10.651
_cell_length_c 6.808
_cell_angle_alpha 90.00
_cell_angle_beta 90.00
_cell_angle_gamma 90.00
loop_
_atom_site_label
_atom_site_type_symbol
_atom_site_fract_x
_atom_site_fract_y
_atom_site_fract_z
_atom_site_occupancy
Tm1 Tm 0.000 0.000 0.000 1
Tm2 Tm 0.000 0.500 0.244 1
Tm3 Tm 0.250 0.250 0.253 1
Zn1 Zn 0.170 0.000 0.500 1
Co1 Co 0.000 0.294 0.000 1

***

4.
# YBe2Tc PBE relaxed
# Formation enthalpy at 0 K ... 0.1729 eV/atom
# Calculated volume ... 14.686 A^3/atom
# Calculated total energy ... -0.43348 Ry/atom
# Crystal system ... cubic
data_YBe2Tc
_symmetry_space_group_name_H-M 'F m -3 m'
_symmetry_Int_Tables_number 225
_symmetry_space_group_name_Hall '-F 4 2 3'
_cell_length_a 6.171
_cell_length_b 6.171
_cell_length_c 6.171
_cell_angle_alpha 90.00
_cell_angle_beta 90.00
_cell_angle_gamma 90.00
loop_
_atom_site_label
_atom_site_type_symbol
_atom_site_fract_x
_atom_site_fract_y
_atom_site_fract_z
_atom_site_occupancy
Y1 Y 0.000 0.000 0.000 1
Be1 Be 0.250 0.250 0.250 1
Tc1 Tc 0.000 0.000 0.500 1

***

5.
# NbHg2H2 PBE relaxed
# Calculated volume ... 16.298 A^3/atom
# Calculated total energy ... -0.17824 Ry/atom
# Crystal system ... tetragonal
data_NbHg2H2
_symmetry_space_group_name_H-M 'P 4/m b m'
_symmetry_Int_Tables_number 127
_symmetry_space_group_name_Hall '-P 4 2ab'
_cell_length_a 7.401
_cell_length_b 7.401
_cell_length_c 2.975
_cell_angle_alpha 90.00
_cell_angle_beta 90.00
_cell_angle_gamma 90.00
loop_
_atom_site_label
_atom_site_type_symbol
_atom_site_fract_x
_atom_site_fract_y
_atom_site_fract_z
_atom_site_occupancy
Nb1 Nb 0.000 0.000 0.000 1
Hg1 Hg 0.132 0.368 0.000 1
H1 H 0.243 0.743 0.500 1

***

6.
# ZrSn2Se4 PBE relaxed
# Formation energy without anion corrections ... -803.5 meV/atom
# Calculated volume ... 30.201 A^3/atom
# Calculated total energy ... -0.37922 Ry/atom
# Crystal system ... orthorhombic
data_ZrSn2Se4
_symmetry_space_group_name_H-M 'P b a m'
_symmetry_Int_Tables_number 55
_cell_length_a 7.883
_cell_length_b 13.642
_cell_length_c 3.932
_cell_angle_alpha 90.00
_cell_angle_beta 90.00
_cell_angle_gamma 90.00
loop_
_symmetry_equiv_pos_as_xyz
'x,y,z'
'-x,-y,-z'
'-x,-y,z'
'x,y,-z'
'x+1/2,-y+1/2,-z'
'-x+1/2,y+1/2,z'
'-x+1/2,y+1/2,-z'
'x+1/2,-y+1/2,z'
loop_
_atom_site_label
_atom_site_type_symbol
_atom_site_fract_x
_atom_site_fract_y
_atom_site_fract_z
_atom_site_occupancy
Zr1 Zr 0.000 0.000 0.000 1
Sn1 Sn 0.167 0.348 0.500 1
Se1 Se 0.097 0.808 0.000 1
Se2 Se 0.230 0.043 0.500 1

***

7.
# RbCaCu2Se PBE relaxed
# Formation energy without anion corrections ... 1072.3 meV/atom
# Calculated volume ... 39.148 A^3/atom
# Calculated total energy ... -0.13648 Ry/atom
# Crystal system ... tetragonal
data_RbCaCu2Se
_symmetry_space_group_name_H-M 'P 4/m m m'
_symmetry_Int_Tables_number 123
_symmetry_space_group_name_Hall '-P 4 2'
_cell_length_a 5.045
_cell_length_b 5.045
_cell_length_c 7.690
_cell_angle_alpha 90.00
_cell_angle_beta 90.00
_cell_angle_gamma 90.00
loop_
_atom_site_label
_atom_site_type_symbol
_atom_site_fract_x
_atom_site_fract_y
_atom_site_fract_z
_atom_site_occupancy
Rb1 Rb 0.000 0.000 0.000 1
Ca1 Ca 0.000 0.000 0.500 1
Cu1 Cu 0.000 0.500 0.000 1
Se1 Se 0.500 0.500 0.500 1

***

8.
# SnAs3N PBE relaxed
# Formation energy without anion corrections ... 649.8 meV/atom
# Calculated volume ... 17.984 A^3/atom
# Calculated total energy ... -0.33850 Ry/atom
# Crystal system ... cubic
data_SnAs3N
_symmetry_space_group_name_H-M 'P m -3 m'
_symmetry_Int_Tables_number 221
_symmetry_space_group_name_Hall '-P 4 2 3'
_cell_length_a 4.480
_cell_length_b 4.480
_cell_length_c 4.480
_cell_angle_alpha 90.00
_cell_angle_beta 90.00
_cell_angle_gamma 90.00
loop_
_atom_site_label
_atom_site_type_symbol
_atom_site_fract_x
_atom_site_fract_y
_atom_site_fract_z
_atom_site_occupancy
Sn1 Sn 0.000 0.000 0.000 1
As1 As 0.000 0.500 0.500 1
N1 N 0.500 0.500 0.500 1

***

9.
# Be8As2P3 PBE relaxed
# Formation enthalpy at 0 K ... 0.0416 eV/atom
# Calculated volume ... 15.506 A^3/atom
# Calculated total energy ... -0.30981 Ry/atom
# Crystal system ... monoclinic
data_Be8As2P3
_symmetry_space_group_name_H-M 'C 1 2/m 1'
_symmetry_Int_Tables_number 12
_cell_length_a 10.512
_cell_length_b 6.848
_cell_length_c 5.875
_cell_angle_alpha 90.00
_cell_angle_beta 107.57
_cell_angle_gamma 90.00
loop_
_symmetry_equiv_pos_as_xyz
'x,y,z'
'-x,-y,-z'
'-x,y,-z'
'x,-y,z'
'x+1/2,y+1/2,z'
'-x+1/2,-y+1/2,-z'
'-x+1/2,y+1/2,-z'
'x+1/2,-y+1/2,z'
loop_
_atom_site_label
_atom_site_type_symbol
_atom_site_fract_x
_atom_site_fract_y
_atom_site_fract_z
_atom_site_occupancy
Be1 Be 0.016 0.000 0.229 1
Be2 Be 0.099 0.274 0.735 1
Be3 Be 0.115 0.500 0.211 1
As1 As 0.167 0.000 0.601 1
P1 P 0.000 0.259 0.000 1
P2 P 0.000 0.500 0.500 1

***

10.
# Tb7Sm16Er6 PBE relaxed
# Formation enthalpy at 0 K ... 0.2248 eV/atom
# Calculated volume ... 34.477 A^3/atom
# Calculated total energy ... -0.32637 Ry/atom
# Crystal system ... cubic
data_Tb7Sm16Er6
_symmetry_space_group_name_H-M 'F m -3 m'
_symmetry_Int_Tables_number 225
_symmetry_space_group_name_Hall '-F 4 2 3'
_cell_length_a 15.873
_cell_length_b 15.873
_cell_length_c 15.873
_cell_angle_alpha 90.00
_cell_angle_beta 90.00
_cell_angle_gamma 90.00
loop_
_atom_site_label
_atom_site_type_symbol
_atom_site_fract_x
_atom_site_fract_y
_atom_site_fract_z
_atom_site_occupancy
Tb1 Tb 0.000 0.000 0.000 1
Tb2 Tb 0.000 0.250 0.250 1
Sm1 Sm 0.125 0.125 0.125 1
Sm2 Sm 0.150 0.150 0.350 1
Er1 Er 0.000 0.000 0.266 1

***

11.
# KCaHg3 PBE relaxed
# Formation enthalpy at 0 K ... -0.3419 eV/atom
# Calculated volume ... 30.998 A^3/atom
# Calculated total energy ... -0.08400 Ry/atom
# Crystal system ... orthorhombic
data_KCaHg3
_symmetry_space_group_name_H-M 'C m c m'
_symmetry_Int_Tables_number 63
_symmetry_space_group_name_Hall '-C 2c 2'
_cell_length_a 3.955
_cell_length_b 30.802
_cell_length_c 5.089
_cell_angle_alpha 90.00
_cell_angle_beta 90.00
_cell_angle_gamma 90.00
loop_
_atom_site_label
_atom_site_type_symbol
_atom_site_fract_x
_atom_site_fract_y
_atom_site_fract_z
_atom_site_occupancy
K1 K 0.000 0.076 0.250 1
Ca1 Ca 0.000 0.208 0.750 1
Hg1 Hg 0.000 0.313 0.750 1
Hg2 Hg 0.000 0.374 0.250 1
Hg3 Hg 0.000 0.474 0.250 1